No. 1
InOsSe2: relaxed, PBE-GGA.

Values from the calculation:
Mass density in g cm⁻³: 7.72
Formation energy (no corrections) in meV/atom: 135
Raw total energy in eV per cell: -81.58

a b c (Å): 7.487 7.487 7.110
angles (deg): 90.00 90.00 90.00
Space group I-42d (No. 122)
Asymmetric unit:
In: 0.000 0.000 0.000 [4 per cell]
Os: 0.000 0.000 0.500 [4 per cell]
Se: 0.157 0.250 0.625 [8 per cell]

No. 2
InOsSe: relaxed, PBE-GGA.

Values from the calculation:
Mass density in g cm⁻³: 10.15
Formation energy (no corrections) in meV/atom: 591
Raw total energy in eV per cell: -62.72

a b c (Å): 3.001 5.259 15.925
angles (deg): 90.00 90.00 90.00
Space group Fmm2 (No. 42)
Asymmetric unit:
In: 0.000 0.000 0.000 [4 per cell]
Os: 0.000 0.000 0.344 [4 per cell]
Se: 0.000 0.000 0.724 [4 per cell]

No. 3
InOsSe3: relaxed, PBE-GGA.

Values from the calculation:
Mass density in g cm⁻³: 7.32
Formation energy (no corrections) in meV/atom: 376
Raw total energy in eV per cell: -22.54

a b c (Å): 4.972 4.972 4.972
angles (deg): 90.00 90.00 90.00
Space group Pm-3m (No. 221)
Asymmetric unit:
In: 0.000 0.000 0.000 [1 per cell]
Os: 0.500 0.500 0.500 [1 per cell]
Se: 0.000 0.500 0.500 [3 per cell]